1.
{
  "formula": "NaMgGa",
  "functional": "PBE",
  "state": "optimized geometry",
  "cell": [[4.351, 0.000, 0.000], [0.000, 4.351, 0.000], [0.000, 0.000, 7.913]],
  "species": ["Mg", "Mg", "Ga", "Ga", "Na", "Na"],
  "fractional_positions": [[0.000, 0.000, 0.500], [0.500, 0.500, 0.500], [0.000, 0.500, 0.264], [0.500, 0.000, 0.736], [0.000, 0.500, 0.862], [0.500, 0.000, 0.138]],
  "polymorph_energy_ev_per_fu": 0.14,
  "total_magnetization_mub_per_atom": 0.0000,
  "energy_ev_per_atom": -2.0039,
  "e_form_ev_per_atom": -0.02,
  "rho_g_cm3": 2.6
}

=====

2.
{
  "formula": "Tb2Pr4Dy5",
  "functional": "PBE",
  "state": "optimized geometry",
  "cell": [[5.541, 0.000, -1.352], [-0.321, 6.550, -1.316], [-0.526, 1.813, 9.877]],
  "species": ["Pr", "Pr", "Pr", "Pr", "Dy", "Dy", "Dy", "Dy", "Dy", "Tb", "Tb"],
  "fractional_positions": [[0.694, 0.074, 0.388], [0.020, 0.287, 0.040], [0.306, 0.926, 0.612], [0.980, 0.713, 0.960], [0.870, 0.109, 0.739], [0.209, 0.402, 0.418], [0.500, 0.000, 0.000], [0.791, 0.598, 0.582], [0.130, 0.891, 0.261], [0.402, 0.446, 0.805], [0.598, 0.554, 0.195]],
  "polymorph_energy_ev_per_fu": 0.00,
  "total_magnetization_mub_per_atom": 0.0000,
  "energy_ev_per_atom": -4.5656,
  "e_form_ev_per_atom": 0.11,
  "rho_g_cm3": 7.6
}

=====

3.
{
  "formula": "TaIn2Te",
  "functional": "PBE",
  "state": "optimized geometry",
  "cell": [[-3.888, -0.216, 1.501], [-0.994, -2.756, -2.971], [0.610, -9.818, 5.972]],
  "species": ["In", "In", "In", "In", "Ta", "Ta", "Te", "Te"],
  "fractional_positions": [[0.875, 0.887, 0.750], [0.637, 0.125, 0.250], [0.375, 0.363, 0.750], [0.113, 0.625, 0.250], [0.000, 0.000, 0.000], [0.750, 0.250, 0.500], [0.250, 0.750, 0.500], [0.500, 0.500, 0.000]],
  "polymorph_energy_ev_per_fu": 1.76,
  "total_magnetization_mub_per_atom": 0.0000,
  "energy_ev_per_atom": -4.6020,
  "formation_energy_uncorrected_ev_per_atom": 0.52,
  "rho_g_cm3": 9.2
}